Record 1
The following is a PBE calculation of ErMgAlIn after structural relaxation, from Alexandria.

## Properties
density of states at the Fermi level = 0.570 states/eV/atom
VASP energy = -3.360 eV/atom
E_form = -0.200 eV/atom
space-group type = F-43m (216)
calculated volume = 91.5 Å³/f.u.

Cell lengths 5.0578, 5.0578, 5.0578 Å; angles 60.00, 60.00, 60.00 degrees
Atoms (fractional coordinates):
Er 0.0000 0.0000 0.0000
Mg 0.5000 0.5000 0.5000
Al 0.2500 0.2500 0.2500
In 0.7500 0.7500 0.7500

=====

Record 2
The following is a PBE calculation of MgAl2Hg2 after structural relaxation, from Alexandria.

## Properties
density of states at the Fermi level = 0.427 states/eV/atom
VASP energy = -1.815 eV/atom
E_form = 0.122 eV/atom
space-group type = P4/mbm (127)
calculated volume = 108.3 Å³/f.u.

Cell lengths 7.9305, 7.9305, 3.4424 Å; angles 90.00, 90.00, 90.00 degrees
Atoms (fractional coordinates):
Mg 0.0000 0.0000 0.0000
Mg 0.5000 0.5000 0.0000
Al 0.1280 0.3720 0.5000
Al 0.3720 0.8720 0.5000
Al 0.6280 0.1280 0.5000
Al 0.8720 0.6280 0.5000
Hg 0.1728 0.6728 0.0000
Hg 0.3272 0.1728 0.0000
Hg 0.6728 0.8272 0.0000
Hg 0.8272 0.3272 0.0000

=====

Record 3
The following is a PBE calculation of Ho2Re2Si2B after structural relaxation, from Alexandria.

## Properties
density of states at the Fermi level = 0.519 states/eV/atom
VASP energy = -7.984 eV/atom
space-group type = C2/m (12)
calculated volume = 122.0 Å³/f.u.
formation energy without anion corrections = -0.62 eV/atom

Cell lengths 5.7817, 5.7817, 6.8954 Å; angles 123.47, 123.47, 40.89 degrees
Atoms (fractional coordinates):
Ho 0.0765 0.0765 0.3041
Ho 0.9235 0.9235 0.6959
Re 0.2835 0.2835 0.9074
Re 0.7165 0.7165 0.0926
Si 0.3628 0.3628 0.3273
Si 0.6372 0.6372 0.6727
B 0.5000 0.5000 0.0000